1.
Computed, not measured: a relaxed AlAsCl crystal at the PBE-GGA level of DFT.

Calculated values
Formation energy without anion corrections ... -0.29 eV per atom
Calculated total energy ... -3.70 eV per atom

abc: 7.9501 7.6372 3.3309
angles: 82.98 72.45 24.57
Sites, in units of the cell vectors:
As: 0.3846 0.3846 0.6154
Cl: 0.6160 0.6160 0.3840
Al: 0.9994 0.9994 0.0006

=====

2.
Computed, not measured: a relaxed SmCd23Hg6 crystal at the PBE-GGA level of DFT.

Calculated values
E_form ... 0.0094 eV/atom
Calculated total energy ... -0.91 eV per atom

abc: 10.0606 10.0606 10.0606
angles: 60.00 60.00 60.00
Sites, in units of the cell vectors:
Cd: 0.3493 0.9520 0.3493
Cd: 0.9520 0.3493 0.3493
Cd: 0.6507 0.6507 0.0480
Cd: 0.8764 0.8764 0.3707
Cd: 0.5000 0.5000 0.0000
Cd: 0.0000 0.5000 0.5000
Cd: 0.3493 0.3493 0.9520
Cd: 0.1236 0.1236 0.1236
Cd: 0.1236 0.1236 0.6293
Cd: 0.1236 0.6293 0.1236
Cd: 0.0000 0.0000 0.5000
Cd: 0.5000 0.0000 0.5000
Cd: 0.0480 0.6507 0.6507
Cd: 0.3707 0.8764 0.8764
Cd: 0.6293 0.1236 0.1236
Cd: 0.6507 0.0480 0.6507
Cd: 0.0000 0.5000 0.0000
Cd: 0.5000 0.0000 0.0000
Cd: 0.8764 0.3707 0.8764
Cd: 0.3493 0.3493 0.3493
Cd: 0.0000 0.0000 0.0000
Cd: 0.8764 0.8764 0.8764
Cd: 0.6507 0.6507 0.6507
Hg: 0.2739 0.2739 0.7261
Hg: 0.7261 0.2739 0.7261
Hg: 0.2739 0.7261 0.7261
Hg: 0.7261 0.2739 0.2739
Hg: 0.7261 0.7261 0.2739
Hg: 0.2739 0.7261 0.2739
Sm: 0.5000 0.5000 0.5000

=====

3.
Computed, not measured: a relaxed Th2Ga4Pd3Au crystal at the PBE-GGA level of DFT.

Calculated values
E_form ... -0.7329 eV/atom
Calculated total energy ... -5.31 eV per atom

abc: 4.3617 4.3617 10.3355
angles: 90.00 90.00 90.00
Sites, in units of the cell vectors:
Au: 0.5000 0.5000 0.5000
Pd: 0.0000 0.5000 0.1279
Pd: 0.5000 0.0000 0.8721
Pd: 0.0000 0.0000 0.5000
Ga: 0.0000 0.0000 0.0000
Ga: 0.5000 0.0000 0.6350
Ga: 0.0000 0.5000 0.3650
Ga: 0.5000 0.5000 0.0000
Th: 0.0000 0.5000 0.7524
Th: 0.5000 0.0000 0.2476

=====

What did the second record say?
Computed, not measured: a relaxed SmCd23Hg6 crystal at the PBE-GGA level of DFT.

Calculated values
E_form ... 0.0094 eV/atom
Calculated total energy ... -0.91 eV per atom

abc: 10.0606 10.0606 10.0606
angles: 60.00 60.00 60.00
Sites, in units of the cell vectors:
Cd: 0.3493 0.9520 0.3493
Cd: 0.9520 0.3493 0.3493
Cd: 0.6507 0.6507 0.0480
Cd: 0.8764 0.8764 0.3707
Cd: 0.5000 0.5000 0.0000
Cd: 0.0000 0.5000 0.5000
Cd: 0.3493 0.3493 0.9520
Cd: 0.1236 0.1236 0.1236
Cd: 0.1236 0.1236 0.6293
Cd: 0.1236 0.6293 0.1236
Cd: 0.0000 0.0000 0.5000
Cd: 0.5000 0.0000 0.5000
Cd: 0.0480 0.6507 0.6507
Cd: 0.3707 0.8764 0.8764
Cd: 0.6293 0.1236 0.1236
Cd: 0.6507 0.0480 0.6507
Cd: 0.0000 0.5000 0.0000
Cd: 0.5000 0.0000 0.0000
Cd: 0.8764 0.3707 0.8764
Cd: 0.3493 0.3493 0.3493
Cd: 0.0000 0.0000 0.0000
Cd: 0.8764 0.8764 0.8764
Cd: 0.6507 0.6507 0.6507
Hg: 0.2739 0.2739 0.7261
Hg: 0.7261 0.2739 0.7261
Hg: 0.2739 0.7261 0.7261
Hg: 0.7261 0.2739 0.2739
Hg: 0.7261 0.7261 0.2739
Hg: 0.2739 0.7261 0.2739
Sm: 0.5000 0.5000 0.5000